# CsLaBAu, optimized geometry, DFT PBE-GGA
# total magnetic moment	1.26	μB per formula unit
# total energy	-52.1	eV per cell
# distance to the lowest polymorph of the same formula	0.00	kJ per mole of atoms
data_CsLaBAu
_chemical_formula_sum 'Cs4 La4 B4 Au4'
_cell_length_a 7.577
_cell_length_b 7.577
_cell_length_c 7.577
_cell_angle_alpha 90.00
_cell_angle_beta 90.00
_cell_angle_gamma 90.00
_symmetry_space_group_name_H-M 'F -4 3 m'
_symmetry_Int_Tables_number 216
_symmetry_space_group_name_Hall 'F -4 2 3'
loop_
_atom_site_label
_atom_site_fract_x
_atom_site_fract_y
_atom_site_fract_z
Cs1 0.000 0.000 0.000
La1 0.000 0.000 0.500
B1 0.250 0.250 0.750
Au1 0.250 0.250 0.250